(1)
# MnCu4Re

A relaxed structure of MnCu4Re (GGA-PBE, Alexandria).

Electronic total energy   -36.1 eV for the cell shown
Magnetic moment   1.636 μB/f.u.
Formation enthalpy at 0 K   0.31 eV per atom

Geometry as POSCAR:
```
MnCu4Re
1.0
0.000 3.358 3.358
3.358 0.000 3.358
3.358 3.358 0.000
Mn Cu Re
1 4 1
Direct
0.000 0.000 0.000
0.375 0.375 0.375
0.375 0.375 0.875
0.375 0.875 0.375
0.875 0.375 0.375
0.750 0.750 0.750
```

(2)
# Th5OsPb2

A relaxed structure of Th5OsPb2 (GGA-PBE, Alexandria).

Electronic total energy   -107.9 eV for the cell shown
Magnetic moment   0.000 μB/f.u.
Formation enthalpy at 0 K   0.23 eV per atom

Geometry as POSCAR:
```
Th5OsPb2
1.0
2.793 -8.311 0.000
2.793 8.311 0.000
0.000 0.000 13.151
Th Os Pb
10 2 4
Direct
0.068 0.932 0.599
0.068 0.932 0.901
0.290 0.710 0.570
0.290 0.710 0.930
0.308 0.692 0.250
0.692 0.308 0.750
0.710 0.290 0.070
0.710 0.290 0.430
0.932 0.068 0.099
0.932 0.068 0.401
0.182 0.818 0.750
0.818 0.182 0.250
0.128 0.872 0.131
0.128 0.872 0.369
0.872 0.128 0.631
0.872 0.128 0.869
```